1.
DFT (SCAN) results for a PBEsol-optimized structure of Mn2CuRh.

a = 3.631 Å, b = 3.631 Å, c = 7.302 Å
α = 90.00°, β = 90.00°, γ = 90.00°
Space group I-4m2 (No. 119)
Symmetry-distinct sites (fractional):
Mn: 0.000 0.000 0.000 (multiplicity 2)
Mn: 0.000 0.500 0.250 (multiplicity 2)
Cu: 0.000 0.500 0.750 (multiplicity 2)
Rh: 0.000 0.000 0.500 (multiplicity 2)

Its density of states at the Fermi level is 0.784 states/eV per atom. The value obtained for the volume is 12.0 Å³/atom. The formation energy from the elements comes out at -0.15 eV per atom.


2.
DFT (SCAN) results for a PBEsol-optimized structure of RbMgAsBr2.

a = 6.127 Å, b = 6.127 Å, c = 6.161 Å
α = 90.00°, β = 90.00°, γ = 90.00°
Space group P4/mmm (No. 123)
Symmetry-distinct sites (fractional):
Rb: 0.000 0.000 0.000 (multiplicity 1)
Mg: 0.500 0.500 0.500 (multiplicity 1)
As: 0.000 0.000 0.500 (multiplicity 1)
Br: 0.000 0.500 0.000 (multiplicity 2)

The value obtained for the volume is 46.3 Å³/atom. The value obtained for the raw formation energy is 0.12 eV per atom.


3.
DFT (SCAN) results for a PBEsol-optimized structure of CaZrAu.

a = 6.728 Å, b = 6.728 Å, c = 6.728 Å
α = 90.00°, β = 90.00°, γ = 90.00°
Space group F-43m (No. 216)
Symmetry-distinct sites (fractional):
Ca: 0.000 0.000 0.000 (multiplicity 4)
Zr: 0.000 0.000 0.500 (multiplicity 4)
Au: 0.250 0.250 0.750 (multiplicity 4)

Its density of states at the Fermi level is 0.934 states/eV per atom. For the energy above the most stable polymorph in this dataset, the calculation gives 0 meV per atom. The value obtained for the volume is 25.4 Å³/atom. The formation energy from the elements comes out at -0.29 eV per atom.


4.
DFT (SCAN) results for a PBEsol-optimized structure of LiZrBi2.

a = 7.279 Å, b = 7.279 Å, c = 7.279 Å
α = 90.00°, β = 90.00°, γ = 90.00°
Space group Fm-3m (No. 225)
Symmetry-distinct sites (fractional):
Li: 0.000 0.000 0.000 (multiplicity 4)
Zr: 0.000 0.000 0.500 (multiplicity 4)
Bi: 0.250 0.250 0.250 (multiplicity 8)

Its density of states at the Fermi level is 0.497 states/eV per atom. The value obtained for the volume is 24.1 Å³/atom. The formation energy from the elements comes out at -0.24 eV per atom.


5.
DFT (SCAN) results for a PBEsol-optimized structure of ZnCrHg.

a = 6.190 Å, b = 6.190 Å, c = 6.190 Å
α = 90.00°, β = 90.00°, γ = 90.00°
Space group F-43m (No. 216)
Symmetry-distinct sites (fractional):
Zn: 0.000 0.000 0.000 (multiplicity 4)
Cr: 0.000 0.000 0.500 (multiplicity 4)
Hg: 0.250 0.250 0.250 (multiplicity 4)

Its density of states at the Fermi level is 0.682 states/eV per atom. For the energy above the most stable polymorph in this dataset, the calculation gives 176 meV per atom. The value obtained for the volume is 19.8 Å³/atom. The formation energy from the elements comes out at 0.32 eV per atom.


6.
DFT (SCAN) results for a PBEsol-optimized structure of LaTePdN2.

a = 4.275 Å, b = 4.275 Å, c = 5.060 Å
α = 90.00°, β = 90.00°, γ = 90.00°
Space group P4/mmm (No. 123)
Symmetry-distinct sites (fractional):
La: 0.000 0.000 0.000 (multiplicity 1)
Te: 0.500 0.500 0.000 (multiplicity 1)
Pd: 0.500 0.500 0.500 (multiplicity 1)
N: 0.000 0.500 0.500 (multiplicity 2)

Its density of states at the Fermi level is 0.548 states/eV per atom. The value obtained for the volume is 18.5 Å³/atom. The value obtained for the raw formation energy is 0.45 eV per atom.